(1)
DFT (PBE) results for DyYTmTl after structural relaxation.

**Total DFT energy (no corrections)**: -4.5189 eV/atom
**Formation energy**: -42.9 meV/atom
**Energy relative to the lowest polymorph listed for this composition**: 134.0 meV/atom

Lattice parameters (Å, degrees): 7.7078 7.7078 7.7078 90.00 90.00 90.00
Space group F-43m (No. 216)
Symmetry-distinct sites (fractional):
Dy: 0.0000 0.0000 0.0000 [4 per cell]
Y: 0.0000 0.0000 0.5000 [4 per cell]
Tm: 0.2500 0.2500 0.2500 [4 per cell]
Tl: 0.2500 0.2500 0.7500 [4 per cell]

---

(2)
DFT (PBE) results for Dy2TmTl2Zn2 after structural relaxation.

**Total DFT energy (no corrections)**: -3.1277 eV/atom
**Formation energy**: -134.0 meV/atom

Lattice parameters (Å, degrees): 4.7239 4.7239 27.2450 90.00 90.00 120.00
Space group R-3m (No. 166, hexagonal axes)
Symmetry-distinct sites (fractional):
Dy: 0.0000 0.0000 0.1262 [6 per cell]
Tm: 0.0000 0.0000 0.0000 [3 per cell]
Tl: 0.0000 0.0000 0.2620 [6 per cell]
Zn: 0.0000 0.0000 0.3895 [6 per cell]

---

(3)
DFT (PBE) results for DyTm2Tl2Zn2 after structural relaxation.

**Total DFT energy (no corrections)**: -3.1025 eV/atom
**Formation energy**: -127.4 meV/atom

Lattice parameters (Å, degrees): 4.7629 4.7629 26.3000 90.00 90.00 120.00
Space group R-3m (No. 166, hexagonal axes)
Symmetry-distinct sites (fractional):
Dy: 0.0000 0.0000 0.0000 [3 per cell]
Tm: 0.0000 0.0000 0.1311 [6 per cell]
Tl: 0.0000 0.0000 0.2669 [6 per cell]
Zn: 0.0000 0.0000 0.4267 [6 per cell]